Here is crystalline Hf3Si2 at its relaxed geometry from the Alexandria database. Energies are from PBE.

- E_form (uncorrected): -615 meV/atom
- Relative energy among the computed polymorphs: 186 meV per atom

Lattice parameters (Å, degrees): 3.9595 5.3220 5.3220 66.02 68.16 68.16
Last column: nearest neighbours and their distance in Å.
Fractional positions:
Si 0.5000 0.7043 0.2957  1 Si 2.37, 2 Hf 2.62
Hf 0.0000 0.0000 0.0000  4 Si 2.62
Si 0.5000 0.2957 0.7043  1 Si 2.37, 2 Hf 2.62
Hf 0.7946 0.7054 0.7054  6 Si 2.83-2.91, 2 Hf 3.08
Hf 0.2054 0.2946 0.2946  6 Si 2.83-2.91, 2 Hf 3.08